Record 1
4
Lattice="0.000 3.077 3.077 3.077 0.000 3.077 3.077 3.077 0.000" Properties=species:S:1:pos:R:3 comment="TaZnCoGe PBE-GGA optimized geometry" de_polymorph_mev_per_atom=0 sg="F-43m (216)" pbc="T T T"
Co 4.615 4.615 4.615
Ge 0.000 0.000 0.000
Ta 3.077 3.077 3.077
Zn 1.538 1.538 1.538

***

Record 2
32
Lattice="4.085 0.000 0.000 0.000 4.089 0.000 0.000 0.000 48.102" Properties=species:S:1:pos:R:3 comment="GaAu15 PBE-GGA optimized geometry" de_polymorph_mev_per_atom=2 sg="Pmma (51)" pbc="T T T"
Au 1.021 0.000 1.075
Au 3.064 2.044 1.077
Au 1.021 2.044 3.226
Au 3.064 0.000 3.231
Au 1.021 0.000 5.380
Au 3.064 2.044 5.381
Au 1.021 2.044 7.528
Au 3.064 0.000 7.534
Au 1.021 0.000 9.682
Au 3.064 2.044 9.682
Au 3.064 0.000 11.836
Au 1.021 2.044 11.839
Au 3.064 2.044 14.006
Au 1.021 0.000 14.007
Au 1.021 2.044 16.154
Au 3.064 2.044 31.948
Au 3.064 0.000 34.095
Au 1.021 2.044 34.096
Au 3.064 2.044 36.263
Au 1.021 0.000 36.266
Au 1.021 2.044 38.420
Au 3.064 0.000 38.420
Au 1.021 0.000 40.568
Au 3.064 2.044 40.574
Au 1.021 2.044 42.721
Au 3.064 0.000 42.722
Au 1.021 0.000 44.871
Au 3.064 2.044 44.876
Au 1.021 2.044 47.025
Au 3.064 0.000 47.027
Ga 3.064 0.000 16.178
Ga 1.021 0.000 31.924

***

Record 3
4
Lattice="4.578 -1.251 -1.554 2.072 -4.280 1.524 0.601 -3.769 -3.220" Properties=species:S:1:pos:R:3 comment="CoSn3 PBE-GGA optimized geometry" sg="Fm-3m (225)" total_energy_ev_per_atom=-4.33 pbc="T T T"
Co 5.438 -6.975 -2.438
Sn 0.000 0.000 0.000
Sn 1.813 -2.325 -0.813
Sn 3.625 -4.650 -1.625

***

Record 4
9
Lattice="-0.417 1.406 6.011 -4.696 -3.984 0.606 4.008 -4.521 1.335" Properties=species:S:1:pos:R:3 comment="CsZrCu3S4 PBE-GGA optimized geometry" de_polymorph_mev_per_atom=210 sg="P-43m (215)" pbc="T T T"
Cs 0.000 0.000 0.000
Cu -2.557 -1.289 3.308
Cu 1.795 -1.558 3.673
Cu -0.344 -4.252 0.970
S -0.310 -1.988 2.227
S -2.559 -3.122 5.138
S 1.270 -3.359 5.459
S -0.612 -5.729 3.081
Zr -0.553 -3.550 3.976

***

Record 5
24
Lattice="-0.583 -2.703 10.635 -3.265 -2.161 -0.728 6.655 -9.374 -2.018" Properties=species:S:1:pos:R:3 comment="TmTlCoS3 PBE-GGA optimized geometry" sg="Pnma (62)" total_energy_ev_per_atom=-5.34 pbc="T T T"
Co 0.883 -3.896 7.601
Co 1.858 -3.507 2.076
Co 2.581 -9.650 6.177
Co 3.556 -9.262 0.652
S 0.025 -2.176 6.347
S 0.638 -4.260 9.781
S -0.286 -3.775 1.597
S -0.207 -5.649 6.802
S 1.869 -4.232 4.179
S 2.886 -4.444 0.251
S 1.554 -8.713 8.002
S 2.570 -8.926 4.074
S 4.646 -7.509 1.451
S 4.725 -9.382 6.656
S 3.801 -8.898 -1.528
S 4.414 -10.981 1.905
Tl -0.037 -0.540 1.768
Tl 2.877 -6.407 6.114
Tl 1.562 -6.751 2.139
Tl 4.476 -12.617 6.485
Tm -0.798 -3.960 4.438
Tm 0.005 -6.853 9.424
Tm 4.434 -6.305 -1.171
Tm 5.237 -9.198 3.814

***

Record 6
8
Lattice="6.384 0.000 0.000 -3.191 5.529 0.000 -0.001 -3.675 5.906" Properties=species:S:1:pos:R:3 comment="Tl6CuN PBE-GGA optimized geometry" sg="P-1 (2)" total_energy_ev_per_atom=-2.90 pbc="T T T"
Cu 3.191 -1.837 2.953
N 0.000 0.000 0.000
Tl 4.285 0.175 1.403
Tl 1.198 1.736 1.403
Tl -2.289 3.627 1.406
Tl 5.481 -1.773 4.501
Tl 1.995 0.118 4.503
Tl -1.092 1.679 4.504

***

Record 7
3
Lattice="0.000 3.151 3.151 3.151 0.000 3.151 3.151 3.151 0.000" Properties=species:S:1:pos:R:3 comment="PuTaMo PBE-GGA optimized geometry" ef_mev_per_atom=590 de_polymorph_mev_per_atom=0 sg="F-43m (216)" pbc="T T T"
Mo 0.000 0.000 0.000
Pu 1.575 1.575 1.575
Ta 4.726 4.726 4.726

***

Record 8
12
Lattice="-0.512 6.629 -4.969 -2.820 -2.066 -2.466 -7.405 1.122 7.526" Properties=species:S:1:pos:R:3 comment="LuTe3PbAu PBE-GGA optimized geometry" de_polymorph_mev_per_atom=0 sg="P2_1/m (11)" pbc="T T T"
Au -1.748 3.538 -2.822
Au -8.989 2.147 2.912
Lu -4.908 4.083 -3.376
Lu -5.828 1.602 3.466
Pb -3.781 0.184 -1.397
Pb -6.955 5.501 1.488
Te -2.789 3.734 -5.506
Te -3.546 3.507 -0.740
Te -3.509 0.378 1.841
Te -7.227 5.307 -1.750
Te -7.191 2.178 0.831
Te -7.947 1.951 5.596

***

Please write out number 7 again, unchanged.
3
Lattice="0.000 3.151 3.151 3.151 0.000 3.151 3.151 3.151 0.000" Properties=species:S:1:pos:R:3 comment="PuTaMo PBE-GGA optimized geometry" ef_mev_per_atom=590 de_polymorph_mev_per_atom=0 sg="F-43m (216)" pbc="T T T"
Mo 0.000 0.000 0.000
Pu 1.575 1.575 1.575
Ta 4.726 4.726 4.726